CaAcS | PBE | optimized geometry

Uncorrected formation energy (kJ/mol of formula units): -250

abc: 8.2325 8.2325 8.2325
angles: 37.73 37.73 37.73
With the nearest neighbours (Å) after each atom.
Element x y z (fractional)
Ca 0.1355 0.1355 0.1355  1 S 2.78
Ca 0.8645 0.8645 0.8645  1 S 2.78
Ac 0.3868 0.3868 0.3868  4 S 2.98-3.12
Ac 0.6132 0.6132 0.6132  4 S 2.98-3.12
S 0.2568 0.2568 0.2568  1 Ca 2.78, 1 Ac 2.98
S 0.7432 0.7432 0.7432  1 Ca 2.78, 1 Ac 2.98